A relaxed structure of AgWBrO2, computed with PBE+U.

The total energy comes out at -5.270 eV/atom. The value obtained for the total moment is 0.000 μB/f.u.

It has space group P4/mmm (No. 123), with a = 3.863 Å, b = 3.863 Å, c = 6.686 Å, α = 90.00°, β = 90.00° and γ = 90.00°. The asymmetric unit holds Ag at (0.000, 0.000, 0.000), W at (0.000, 0.000, 0.500), Br at (0.500, 0.500, 0.000) and O at (0.000, 0.500, 0.500).